Material: TbPuS2
Method: DFT, GGA-PBE
State: relaxed

a b c (Å): 3.923 3.923 6.848
angles (deg): 106.64 106.64 59.99
Each line ends with the local moment (μB).
Positions (direct):
Pu 0.000 0.000 0.000  5.35
S 0.751 0.751 0.252  -0.06
S 0.249 0.249 0.748  -0.06
Tb 0.500 0.500 0.500  0.04

Output
SG = R-3m
uncorrected energy = -8.719 eV per atom

***

Material: MgZrTlCo
Method: DFT, GGA-PBE
State: relaxed

a b c (Å): 4.736 4.736 4.736
angles (deg): 60.00 60.00 60.00
Positions (direct):
Co 0.000 0.000 0.000
Mg 0.750 0.750 0.750
Tl 0.500 0.500 0.500
Zr 0.250 0.250 0.250

Output
SG = F-43m
offset from the most stable computed form = 38 meV per atom

***

Material: NdScTe
Method: DFT, GGA-PBE
State: relaxed

a b c (Å): 5.022 5.022 5.022
angles (deg): 60.00 60.00 60.00
Positions (direct):
Nd 0.250 0.250 0.250
Sc 0.750 0.750 0.750
Te 0.000 0.000 0.000

Output
SG = F-43m
offset from the most stable computed form = 0 meV per atom